Entry from Alexandria: a relaxed structure of In2AsP (GGA-PBE).

a b c (Å): 6.066 6.066 12.120
angles (deg): 90.00 90.00 90.00
Fractional coordinates of all 16 atoms:
In 0.238 0.250 0.125
In 0.250 0.738 0.375
In 0.250 0.762 0.875
In 0.262 0.250 0.625
In 0.738 0.750 0.625
In 0.750 0.238 0.875
In 0.750 0.262 0.375
In 0.762 0.750 0.125
As 0.000 0.000 0.500
As 0.000 0.500 0.750
As 0.500 0.000 0.250
As 0.500 0.500 0.000
P 0.000 0.000 0.000
P 0.000 0.500 0.250
P 0.500 0.000 0.750
P 0.500 0.500 0.500

energy	-4.1091	eV/atom
energy relative to the lowest polymorph listed for this composition	0.0000	eV/atom
total magnetic moment	0.000	μB/f.u.